Entry 1:
SmDy5 | PBE | relaxed

a b c (Å): 5.6218 5.6203 6.9440
angles (deg): 89.93 90.00 120.01
Closest atoms and distances in Å follow each position.
Fractional positions:
1 Sm 0.3056 0.6112 0.7222  14 Dy 3.47-3.69
2 Dy 0.9721 0.9441 0.4701  5 Dy 3.25-3.50
3 Dy 0.6386 0.2773 0.4697  5 Dy 3.25-3.50
4 Dy 0.6390 0.2781 0.9743  5 Dy 3.25-3.50
5 Dy 0.9725 0.9449 0.9747  5 Dy 3.25-3.50
6 Dy 0.3056 0.6111 0.2222  2 Sm 3.47, 12 Dy 3.67

DFT formation energy ... 0.40 eV per formula unit
Relative energy among the computed polymorphs ... 0.049 eV per atom
Fermi-level density of states ... 9.14 states/eV per cell
Space-group type ... C2/m, No. 12
V ... 31.67 A^3/atom
Crystal system ... monoclinic

---

Entry 2:
TlFeS2Cl | PBE | relaxed

a b c (Å): 4.4105 4.4105 5.3656
angles (deg): 90.00 90.00 90.00
Closest atoms and distances in Å follow each position.
Fractional positions:
1 Fe 0.0000 0.0000 0.0000  4 S 2.21
2 Tl 0.5000 0.5000 0.5000  4 Cl 3.12, 8 S 3.47
3 S 0.0000 0.5000 0.0000  2 Fe 2.21
4 S 0.5000 0.0000 0.0000  2 Fe 2.21
5 Cl 0.0000 0.0000 0.5000  2 Fe 2.68

Relative energy among the computed polymorphs ... 0.000 eV per atom
Fermi-level density of states ... 5.92 states/eV per cell
ΔE_f (raw) ... -0.098 eV per atom
Space-group type ... P4/mmm, No. 123
V ... 20.88 A^3/atom
Crystal system ... tetragonal

---

Entry 3:
CsLiIn2 | PBE | relaxed

a b c (Å): 5.8180 5.8180 5.8180
angles (deg): 60.00 60.00 60.00
Closest atoms and distances in Å follow each position.
Fractional positions:
1 In 0.7500 0.7500 0.7500  4 Li 3.56, 4 Cs 3.56
2 In 0.2500 0.2500 0.2500  4 Li 3.56, 4 Cs 3.56
3 Li 0.0000 0.0000 0.0000  8 In 3.56
4 Cs 0.5000 0.5000 0.5000  8 In 3.56

DFT formation energy ... 0.80 eV per formula unit
Relative energy among the computed polymorphs ... 0.380 eV per atom
Fermi-level density of states ... 3.65 states/eV per cell
Space-group type ... Fm-3m, No. 225
V ... 34.81 A^3/atom
Crystal system ... cubic

---

Entry 4:
CdPbCl2 | PBE | relaxed

a b c (Å): 11.0489 11.0489 11.0489
angles (deg): 22.44 22.44 22.44
Closest atoms and distances in Å follow each position.
Fractional positions:
1 Cd 0.0000 0.0000 0.0000  2 Cl 3.83
2 Pb 0.5000 0.5000 0.5000  6 Cl 2.93
3 Cl 0.8814 0.8814 0.8814  3 Pb 2.93
4 Cl 0.1186 0.1186 0.1186  3 Pb 2.93

Relative energy among the computed polymorphs ... 0.009 eV per atom
Fermi-level density of states ... 0.00 states/eV per cell
ΔE_f (raw) ... -0.690 eV per atom
Space-group type ... R-3m, No. 166
V ... 43.11 A^3/atom
Crystal system ... trigonal

---

Entry 5:
SrLa2SmP4 | PBE | relaxed

a b c (Å): 4.2554 7.3366 7.4077
angles (deg): 70.44 90.00 90.00
Closest atoms and distances in Å follow each position.
Fractional positions:
1 La 0.5000 0.0000 0.5000  6 P 2.96-2.97
2 La 0.0000 0.0000 0.0000  6 P 3.04-3.05
3 P 0.5000 0.7479 0.2589  3 La 2.97-3.04, 2 Sm 2.98, 1 Sr 3.05
4 P 0.0000 0.7555 0.7384  3 La 2.96-3.05, 1 Sm 2.97, 2 Sr 3.06
5 P 0.0000 0.2445 0.2616  3 La 2.96-3.05, 1 Sm 2.97, 2 Sr 3.06
6 P 0.5000 0.2521 0.7411  3 La 2.97-3.04, 2 Sm 2.97, 1 Sr 3.05
7 Sr 0.5000 0.5000 0.0000  6 P 3.05-3.06
8 Sm 0.0000 0.5000 0.5000  6 P 2.97-2.98

DFT formation energy ... -10.77 eV per formula unit
Fermi-level density of states ... 6.25 states/eV per cell
Space-group type ... P2/m, No. 10
V ... 27.24 A^3/atom
Crystal system ... monoclinic

---

Entry 6:
UTl2Sb | PBE | relaxed

a b c (Å): 5.1271 4.5512 4.5512
angles (deg): 90.00 90.00 90.00
Closest atoms and distances in Å follow each position.
Fractional positions:
1 U 0.5000 0.5000 0.5000  4 Sb 3.22, 8 Tl 3.43
2 Tl 0.0000 0.5000 0.0000  4 Tl 3.22, 4 Sb 3.43, 4 U 3.43
3 Tl 0.0000 0.0000 0.5000  4 Tl 3.22, 4 Sb 3.43, 4 U 3.43
4 Sb 0.5000 0.0000 0.0000  4 U 3.22, 8 Tl 3.43

Fermi-level density of states ... 7.11 states/eV per cell
ΔE_f (raw) ... 0.039 eV per atom
Space-group type ... P4/mmm, No. 123
V ... 26.55 A^3/atom
Crystal system ... tetragonal